First-principles (PBE) data for a geometry-optimized Cs2Th3Se8 structure, as listed in the Alexandria database.

Computed properties:
- Electronic total energy: -5.39 eV/atom
- Raw formation energy: -1.41 eV/atom
- Space group: C2/m, No. 12
- Total magnetization: 2.04 μB per formula unit

a b c (Å): 7.7223 8.4992 10.2460
angles (deg): 114.50 109.66 90.00
With the nearest neighbours (Å) after each atom.
Fractional coordinates of all 13 atoms:
Se 0.0750 0.4133 0.8265  2 Th 2.84
Se 0.6110 0.0826 0.7882  2 Th 2.91-2.97, 1 Se 3.20
Se 0.3890 0.9174 0.2118  2 Th 2.91-2.97, 1 Se 3.20
Se 0.6110 0.7056 0.7882  2 Th 2.91-2.97, 1 Se 3.20
Se 0.3890 0.2944 0.2118  2 Th 2.91-2.97, 1 Se 3.20
Se 0.1002 0.9097 0.8194  3 Th 2.92-3.00
Se 0.9250 0.5867 0.1735  2 Th 2.84
Se 0.8998 0.0903 0.1806  3 Th 2.92-3.00
Cs 0.3021 0.2752 0.5504  6 Se 3.61-3.81
Cs 0.6979 0.7248 0.4496  6 Se 3.61-3.81
Th 0.5000 0.0000 0.0000  6 Se 2.91-2.92
Th 0.0000 0.2526 0.0000  6 Se 2.84-3.00
Th 0.0000 0.7474 0.0000  6 Se 2.84-3.00